Entry 1:
Computed, not measured: a relaxed Cd2In4Hg2Pb3 crystal at the PBE-GGA level of DFT.

a b c (Å): 5.427 5.427 12.244
angles (deg): 90.00 90.00 120.00
Element x y z (fractional)
Cd 0.333 0.667 0.120
Cd 0.667 0.333 0.880
In 0.333 0.667 0.372
In 0.333 0.667 0.878
In 0.667 0.333 0.122
In 0.667 0.333 0.628
Hg 0.333 0.667 0.626
Hg 0.667 0.333 0.374
Pb 0.000 0.000 0.222
Pb 0.000 0.000 0.500
Pb 0.000 0.000 0.778

## Properties
ΔH_f (0 K)   4.1 kJ per mole of atoms
Space group   No. 164


Entry 2:
Computed, not measured: a relaxed CdIn2HgPb4 crystal at the PBE-GGA level of DFT.

a b c (Å): 6.150 3.496 10.876
angles (deg): 90.00 96.70 90.00
Element x y z (fractional)
Cd 0.000 0.000 0.000
In 0.500 0.000 0.500
In 0.500 0.500 0.000
Hg 0.000 0.500 0.500
Pb 0.236 0.500 0.247
Pb 0.255 0.000 0.752
Pb 0.745 0.000 0.248
Pb 0.764 0.500 0.753

## Properties
ΔH_f (0 K)   3.2 kJ per mole of atoms
Space group   No. 10